Density functional theory data (PBE with a Hubbard U) for a geometry-optimized LaFe2RhF structure.

Results
Its symmetry is No. 123. The total energy is -5.346 eV/atom.

abc: 4.8587 4.8587 5.3970
angles: 90.00 90.00 90.00
Positions (direct):
La (0.0000, 0.0000, 0.0000)
Fe (0.0000, 0.5000, 0.5000)
Fe (0.5000, 0.0000, 0.5000)
Rh (0.0000, 0.0000, 0.5000)
F (0.5000, 0.5000, 0.0000)